Here is crystalline K2BeMo at its relaxed geometry from Alexandria via LeMat-Bulk. Energies are from GGA-PBEsol.

Results
DFT total energy in eV/cell: -11.79
Magnetization in μB per formula unit: 0.7
Volume in A^3/atom: 21.33
Formation enthalpy at 0 K in eV/atom: 1.5605
Space group: Cmmm (65)

```
K2BeMo
1.0
-0.582 -1.069 -2.389
5.368 -0.035 -1.293
-2.178 -5.270 2.889
K Mo Be
2 1 1
Direct
0.000 0.000 0.500
0.000 0.500 0.500
0.500 0.000 0.000
0.500 0.500 0.000
```

***

Here is crystalline TaMo at its relaxed geometry from Alexandria via LeMat-Bulk. Energies are from GGA-PBEsol.

Results
DFT total energy in eV/cell: -98.27
Magnetization in μB per formula unit: 0.0
Volume in A^3/atom: 16.34
Formation enthalpy at 0 K in eV/atom: -0.1244
Space group: I4/mmm (139)

```
TaMo
1.0
-3.468 -2.383 1.620
2.803 -2.203 2.760
-0.618 6.756 2.338
Ta Mo
4 4
Direct
0.119 0.119 0.238
0.750 0.250 0.500
0.881 0.881 0.762
0.250 0.750 0.500
0.624 0.624 0.248
0.500 0.000 0.000
0.376 0.376 0.752
0.000 0.500 0.000
```

***

Here is crystalline Y2ScW at its relaxed geometry from Alexandria via LeMat-Bulk. Energies are from GGA-PBEsol.

Results
DFT total energy in eV/cell: -32.59
Relative energy among the computed polymorphs in eV per atom: 0.000
Magnetization in μB per formula unit: 0.0
Volume in A^3/atom: 23.17
Formation enthalpy at 0 K in eV/atom: 0.3656
Space group: Amm2 (38)

```
Y2ScW
1.0
3.129 0.000 -0.005
0.000 4.895 0.000
-1.556 0.000 6.053
Sc W Y
1 1 2
Direct
0.321 0.000 0.518
0.433 0.500 0.740
0.044 0.000 0.964
0.701 0.500 0.277
```

***

Here is crystalline Cu2AsPt at its relaxed geometry from Alexandria via LeMat-Bulk. Energies are from GGA-PBEsol.

Results
DFT total energy in eV/cell: -21.03
Magnetization in μB per formula unit: 0.0
Volume in A^3/atom: 13.51
Formation enthalpy at 0 K in eV/atom: -0.0719
Space group: I-4m2 (119)

```
Cu2AsPt
1.0
-0.085 3.300 -1.883
1.834 -1.614 -2.912
-4.150 -1.802 0.866
Cu As Pt
2 1 1
Direct
0.000 0.000 0.000
0.750 0.250 0.500
0.250 0.750 0.500
0.500 0.500 0.000
```